No. 1
# PBE CrHg2Rh, optimized geometry
data_CrHg2Rh
_cell_length_a 4.7387
_cell_length_b 3.2373
_cell_length_c 5.0094
_cell_angle_alpha 90.00
_cell_angle_beta 107.80
_cell_angle_gamma 90.00
_symmetry_space_group_name_H-M 'P 1 2/m 1'
_symmetry_Int_Tables_number 10
_symmetry_space_group_name_Hall '-P 2y'
loop_
_atom_site_label
_atom_site_fract_x
_atom_site_fract_y
_atom_site_fract_z
Cr1 0.0000 0.0000 0.0000
Hg1 0.5000 0.0000 0.5000
Hg2 0.5000 0.5000 0.0000
Rh1 0.0000 0.5000 0.5000
# * crystal system: monoclinic
# * ΔE to the lowest computed polymorph: 0.56 eV/f.u.
# * DFT formation energy: 1.3 eV/f.u.

***

No. 2
# PBE CrHgRh, optimized geometry
data_CrHgRh
_cell_length_a 2.8518
_cell_length_b 2.8518
_cell_length_c 11.5934
_cell_angle_alpha 90.00
_cell_angle_beta 90.00
_cell_angle_gamma 90.00
_symmetry_space_group_name_H-M 'I 4 m m'
_symmetry_Int_Tables_number 107
_symmetry_space_group_name_Hall 'I 4 -2'
loop_
_atom_site_label
_atom_site_fract_x
_atom_site_fract_y
_atom_site_fract_z
Cr1 0.0000 0.0000 0.0000
Hg1 0.0000 0.0000 0.6819
Rh1 0.0000 0.0000 0.3746
# * crystal system: tetragonal
# * ΔE to the lowest computed polymorph: 0.13 eV/f.u.
# * DFT formation energy: 0.7 eV/f.u.

***

No. 3
# PBE Cr2HgRh, optimized geometry
data_Cr2HgRh
_cell_length_a 2.9671
_cell_length_b 4.6447
_cell_length_c 8.7006
_cell_angle_alpha 90.00
_cell_angle_beta 90.00
_cell_angle_gamma 90.00
_symmetry_space_group_name_H-M 'C m m 2'
_symmetry_Int_Tables_number 35
_symmetry_space_group_name_Hall 'C 2 -2'
loop_
_atom_site_label
_atom_site_fract_x
_atom_site_fract_y
_atom_site_fract_z
Cr1 0.0000 0.0000 0.0000
Cr2 0.0000 0.5000 0.1894
Hg1 0.0000 0.5000 0.7142
Rh1 0.0000 0.0000 0.4256
# * crystal system: orthorhombic
# * DFT formation energy: 1.4 eV/f.u.

***

No. 4
# PBE CrHgRh, optimized geometry
data_CrHgRh
_cell_length_a 4.3991
_cell_length_b 4.3991
_cell_length_c 2.9922
_cell_angle_alpha 90.00
_cell_angle_beta 90.00
_cell_angle_gamma 120.00
_symmetry_space_group_name_H-M 'P -6 m 2'
_symmetry_Int_Tables_number 187
_symmetry_space_group_name_Hall 'P -6 2'
loop_
_atom_site_label
_atom_site_fract_x
_atom_site_fract_y
_atom_site_fract_z
Cr1 0.0000 0.0000 0.0000
Hg1 0.6667 0.3333 0.5000
Rh1 0.3333 0.6667 0.0000
# * crystal system: hexagonal
# * ΔE to the lowest computed polymorph: 0.33 eV/f.u.
# * DFT formation energy: 0.9 eV/f.u.

***

No. 5
# PBE Cr2HgRh, optimized geometry
data_Cr2HgRh
_cell_length_a 9.2727
_cell_length_b 2.9269
_cell_length_c 4.7557
_cell_angle_alpha 90.00
_cell_angle_beta 106.12
_cell_angle_gamma 90.00
_symmetry_space_group_name_H-M 'C 1 m 1'
_symmetry_Int_Tables_number 8
_symmetry_space_group_name_Hall 'C -2y'
loop_
_atom_site_label
_atom_site_fract_x
_atom_site_fract_y
_atom_site_fract_z
Cr1 0.0000 0.0000 0.0000
Cr2 0.2198 0.5000 0.2298
Hg1 0.4876 0.0000 0.4957
Rh1 0.2567 0.0000 0.7844
# * crystal system: monoclinic
# * DFT formation energy: 1.2 eV/f.u.

***

No. 6
# PBE CrHgRh, optimized geometry
data_CrHgRh
_cell_length_a 2.8294
_cell_length_b 2.8294
_cell_length_c 6.8196
_cell_angle_alpha 90.00
_cell_angle_beta 90.00
_cell_angle_gamma 120.00
_symmetry_space_group_name_H-M 'P 3 m 1'
_symmetry_Int_Tables_number 156
_symmetry_space_group_name_Hall 'P 3 -2"'
loop_
_atom_site_label
_atom_site_fract_x
_atom_site_fract_y
_atom_site_fract_z
Cr1 0.0000 0.0000 0.0000
Hg1 0.6667 0.3333 0.3521
Rh1 0.3333 0.6667 0.7229
# * crystal system: trigonal
# * ΔE to the lowest computed polymorph: 0.47 eV/f.u.
# * DFT formation energy: 1.1 eV/f.u.

***

No. 7
# PBE CrHg2Rh, optimized geometry
data_CrHg2Rh
_cell_length_a 6.5879
_cell_length_b 6.5879
_cell_length_c 6.5879
_cell_angle_alpha 90.00
_cell_angle_beta 90.00
_cell_angle_gamma 90.00
_symmetry_space_group_name_H-M 'F m -3 m'
_symmetry_Int_Tables_number 225
_symmetry_space_group_name_Hall '-F 4 2 3'
loop_
_atom_site_label
_atom_site_fract_x
_atom_site_fract_y
_atom_site_fract_z
Cr1 0.0000 0.0000 0.0000
Hg1 0.2500 0.2500 0.2500
Rh1 0.0000 0.0000 0.5000
# * crystal system: cubic
# * ΔE to the lowest computed polymorph: 0.29 eV/f.u.
# * DFT formation energy: 1.0 eV/f.u.

***

No. 8
# PBE Cr2HgRh, optimized geometry
data_Cr2HgRh
_cell_length_a 4.1405
_cell_length_b 4.1405
_cell_length_c 7.4472
_cell_angle_alpha 90.00
_cell_angle_beta 90.00
_cell_angle_gamma 90.00
_symmetry_space_group_name_H-M 'I 4/m m m'
_symmetry_Int_Tables_number 139
_symmetry_space_group_name_Hall '-I 4 2'
loop_
_atom_site_label
_atom_site_fract_x
_atom_site_fract_y
_atom_site_fract_z
Cr1 0.0000 0.5000 0.2500
Hg1 0.0000 0.0000 0.0000
Rh1 0.0000 0.0000 0.5000
# * crystal system: tetragonal
# * DFT formation energy: 1.6 eV/f.u.

***

No. 9
# PBE Cr2HgRh, optimized geometry
data_Cr2HgRh
_cell_length_a 2.7364
_cell_length_b 2.7364
_cell_length_c 7.8498
_cell_angle_alpha 90.00
_cell_angle_beta 90.00
_cell_angle_gamma 90.00
_symmetry_space_group_name_H-M 'P 4/m m m'
_symmetry_Int_Tables_number 123
_symmetry_space_group_name_Hall '-P 4 2'
loop_
_atom_site_label
_atom_site_fract_x
_atom_site_fract_y
_atom_site_fract_z
Cr1 0.0000 0.0000 0.2258
Hg1 0.5000 0.5000 0.5000
Rh1 0.5000 0.5000 0.0000
# * crystal system: tetragonal
# * DFT formation energy: 1.7 eV/f.u.

***

No. 10
# PBE CrHg2Rh, optimized geometry
data_CrHg2Rh
_cell_length_a 2.8746
_cell_length_b 4.1247
_cell_length_c 6.1349
_cell_angle_alpha 90.00
_cell_angle_beta 103.03
_cell_angle_gamma 90.00
_symmetry_space_group_name_H-M 'P 1 m 1'
_symmetry_Int_Tables_number 6
_symmetry_space_group_name_Hall 'P -2y'
loop_
_atom_site_label
_atom_site_fract_x
_atom_site_fract_y
_atom_site_fract_z
Cr1 0.0000 0.0000 0.0000
Hg1 0.2537 0.0000 0.5591
Hg2 0.6134 0.5000 0.2471
Rh1 0.8728 0.5000 0.8133
# * crystal system: monoclinic
# * ΔE to the lowest computed polymorph: 1.07 eV/f.u.
# * DFT formation energy: 1.8 eV/f.u.

***

No. 11
# PBE CrHg2Rh, optimized geometry
data_CrHg2Rh
_cell_length_a 7.4990
_cell_length_b 7.4990
_cell_length_c 5.7127
_cell_angle_alpha 90.00
_cell_angle_beta 90.00
_cell_angle_gamma 90.00
_symmetry_space_group_name_H-M 'I -4 2 d'
_symmetry_Int_Tables_number 122
_symmetry_space_group_name_Hall 'I -4 2bw'
loop_
_atom_site_label
_atom_site_fract_x
_atom_site_fract_y
_atom_site_fract_z
Cr1 0.0000 0.0000 0.0000
Hg1 0.2429 0.2500 0.6250
Rh1 0.0000 0.0000 0.5000
# * crystal system: tetragonal
# * ΔE to the lowest computed polymorph: 1.53 eV/f.u.
# * DFT formation energy: 2.3 eV/f.u.

***

No. 12
# PBE Cr2HgRh, optimized geometry
data_Cr2HgRh
_cell_length_a 2.7653
_cell_length_b 3.9817
_cell_length_c 5.5081
_cell_angle_alpha 90.00
_cell_angle_beta 90.00
_cell_angle_gamma 90.00
_symmetry_space_group_name_H-M 'P m m m'
_symmetry_Int_Tables_number 47
_symmetry_space_group_name_Hall '-P 2 2'
loop_
_atom_site_label
_atom_site_fract_x
_atom_site_fract_y
_atom_site_fract_z
Cr1 0.0000 0.0000 0.1860
Hg1 0.5000 0.5000 0.5000
Rh1 0.5000 0.5000 0.0000
# * crystal system: orthorhombic
# * DFT formation energy: 1.4 eV/f.u.

***

> What is the formula in the fifth record?

Cr2HgRh